The following is a DFT calculation (PBE) of crystalline InSbPt2 at its relaxed geometry.

Lattice parameters (Å, degrees): 3.3821 3.3414 6.7567 90.00 90.37 90.00
Sites, in units of the cell vectors:
In  0.0000  0.0000  0.0000
Sb  0.0000  0.0000  0.5000
Pt  0.4970  0.5000  0.7651
Pt  0.5030  0.5000  0.2349

Summary:
Formation energy without anion corrections ... -237 meV/atom

=====

The following is a DFT calculation (PBE) of crystalline Cd2GaTe2 at its relaxed geometry.

Lattice parameters (Å, degrees): 8.2974 8.2974 4.0684 90.00 90.00 90.00
Sites, in units of the cell vectors:
Cd  0.1361  0.3639  0.0000
Cd  0.3639  0.8639  0.0000
Cd  0.6361  0.1361  0.0000
Cd  0.8639  0.6361  0.0000
Ga  0.0000  0.0000  0.5000
Ga  0.5000  0.5000  0.5000
Te  0.1710  0.6710  0.5000
Te  0.3290  0.1710  0.5000
Te  0.6710  0.8290  0.5000
Te  0.8290  0.3290  0.5000

Summary:
Formation energy without anion corrections ... -53 meV/atom
Energy above the lowest structure with this stoichiometry ... 0.00 eV/f.u.

=====

The following is a DFT calculation (PBE) of crystalline La4CdIn5 at its relaxed geometry.

Lattice parameters (Å, degrees): 9.0347 9.0347 6.7188 98.58 98.58 33.34
Sites, in units of the cell vectors:
La  0.0979  0.0979  0.2886
La  0.3116  0.3116  0.1458
La  0.6884  0.6884  0.8542
La  0.9021  0.9021  0.7114
Cd  0.5000  0.5000  0.5000
In  0.0882  0.0882  0.7856
In  0.2707  0.2707  0.6347
In  0.5000  0.5000  0.0000
In  0.7293  0.7293  0.3653
In  0.9118  0.9118  0.2144

Summary:
ΔE_f ... -450 meV/atom

=====

The following is a DFT calculation (PBE) of crystalline CaLa2Mg3 at its relaxed geometry.

Lattice parameters (Å, degrees): 3.9855 3.9855 11.7943 90.00 90.00 90.00
Sites, in units of the cell vectors:
Ca  0.0000  0.0000  0.0000
La  0.0000  0.0000  0.3363
La  0.0000  0.0000  0.6637
Mg  0.5000  0.5000  0.1674
Mg  0.5000  0.5000  0.5000
Mg  0.5000  0.5000  0.8326

Summary:
ΔE_f ... -104 meV/atom

=====

The following is a DFT calculation (PBE) of crystalline KLaReN2 at its relaxed geometry.

Lattice parameters (Å, degrees): 4.0451 4.0451 5.4379 90.00 90.00 90.00
Sites, in units of the cell vectors:
K  0.0000  0.0000  0.0000
La  0.5000  0.5000  0.0000
Re  0.0000  0.0000  0.5000
N  0.0000  0.5000  0.5000
N  0.5000  0.0000  0.5000

Summary:
Formation energy without anion corrections ... 955 meV/atom

=====

The following is a DFT calculation (PBE) of crystalline Li2ThGa2 at its relaxed geometry.

Lattice parameters (Å, degrees): 4.3296 4.3291 10.3469 90.00 90.00 90.00
Sites, in units of the cell vectors:
Li  0.2488  0.2500  0.1223
Li  0.2500  0.7500  0.5000
Li  0.7500  0.2500  0.5000
Li  0.7512  0.7500  0.8777
Th  0.2502  0.2500  0.7536
Th  0.7498  0.7500  0.2464
Ga  0.2499  0.2500  0.3581
Ga  0.2511  0.7500  0.0000
Ga  0.7489  0.2500  0.0000
Ga  0.7501  0.7500  0.6419

Summary:
ΔE_f ... -286 meV/atom
Energy above the lowest structure with this stoichiometry ... 0.30 eV/f.u.

=====

The following is a DFT calculation (PBE) of crystalline Sm2MgAu4 at its relaxed geometry.

Lattice parameters (Å, degrees): 9.5056 9.5056 9.5056 28.33 28.33 28.33
Sites, in units of the cell vectors:
Sm  0.2479  0.2479  0.2479
Sm  0.7521  0.7521  0.7521
Mg  0.0000  0.0000  0.0000
Au  0.1368  0.1368  0.1368
Au  0.3603  0.3603  0.3603
Au  0.6397  0.6397  0.6397
Au  0.8632  0.8632  0.8632

Summary:
ΔE_f ... -650 meV/atom

=====

The following is a DFT calculation (PBE) of crystalline ErH8Rh2 at its relaxed geometry.

Lattice parameters (Å, degrees): 4.3738 4.3738 4.6765 90.00 90.00 90.00
Sites, in units of the cell vectors:
Er  0.0000  0.0000  0.0000
H  0.2810  0.2810  0.3006
H  0.2810  0.2810  0.6994
H  0.2810  0.7190  0.3006
H  0.2810  0.7190  0.6994
H  0.7190  0.2810  0.3006
H  0.7190  0.2810  0.6994
H  0.7190  0.7190  0.3006
H  0.7190  0.7190  0.6994
Rh  0.0000  0.5000  0.5000
Rh  0.5000  0.0000  0.5000

Summary:
Energy above the lowest structure with this stoichiometry ... 0.47 eV/f.u.

=====

| no. | size of the total moment (μB/cell) | final energy (eV per atom) |
| --- | --- | --- |
| 1 | 0.00 | -4.97 |
| 2 | 0.00 | -2.28 |
| 3 | 0.00 | -3.88 |
| 4 | 0.00 | -2.88 |
| 5 | 0.00 | -6.07 |
| 6 | 0.00 | -3.75 |
| 7 | 0.00 | -4.10 |
| 8 | 0.00 | -4.36 |